(1)
Compound: NiBrCl2
Source: Alexandria via LeMat-Bulk
Functional: meta-GGA SCAN
Structure: PBEsol geometry

The structure belongs to space group R-3m (No. 166, hexagonal axes); the cell edges are 3.2916, 3.2916 and 28.3884 Å and the angles 90.00°, 90.00° and 120.00°. Symmetry generates all atoms from Ni at (0.0000, 0.0000, 0.0000), Br at (0.0000, 0.0000, 0.5000) and Cl at (0.0000, 0.0000, 0.2865).

The spin magnetization is 0.5832 μB per atom. Its excess energy over the best structure of this formula in the dataset is 0 meV per atom. Its density is 3.918 g cm⁻³. The calculation puts the raw formation energy at -603.3 meV per atom.

(2)
Compound: CuSnAs3
Source: Alexandria via LeMat-Bulk
Functional: meta-GGA SCAN
Structure: PBEsol geometry

The structure belongs to space group Pm-3m (No. 221); the cell edges are 5.153, 5.153 and 5.153 Å and the angles 90.00°, 90.00° and 90.00°. Symmetry generates all atoms from Cu at (0.000, 0.000, 0.000), Sn at (0.500, 0.500, 0.500) and As at (0.000, 0.500, 0.500).

The spin magnetization is 0.0001 μB per atom. Its density is 4.940 g cm⁻³. The value obtained for the total DFT energy (no corrections) is -20.92 eV/atom.

(3)
Compound: YFe2Ir
Source: Alexandria via LeMat-Bulk
Functional: meta-GGA SCAN
Structure: PBEsol geometry

The structure belongs to space group Immm (No. 71); the cell edges are 3.317, 4.306 and 8.842 Å and the angles 90.00°, 90.00° and 90.00°. Symmetry generates all atoms from Y at (0.000, 0.000, 0.000), Fe at (0.000, 0.500, 0.234) and Ir at (0.000, 0.000, 0.500).

The spin magnetization is 1.5438 μB per atom. Its density is 10.330 g cm⁻³. The value obtained for the total DFT energy (no corrections) is -33.90 eV/atom.

(4)
Compound: BeSb2AuI
Source: Alexandria via LeMat-Bulk
Functional: meta-GGA SCAN
Structure: PBEsol geometry

The structure belongs to space group P4/mmm (No. 123); the cell edges are 4.889, 4.889 and 4.927 Å and the angles 90.00°, 90.00° and 90.00°. Symmetry generates all atoms from Be at (0.000, 0.000, 0.000), Sb at (0.000, 0.500, 0.000), Au at (0.500, 0.500, 0.500) and I at (0.000, 0.000, 0.500).

The spin magnetization is 0.0000 μB per atom. Its excess energy over the best structure of this formula in the dataset is 0 meV per atom. Its density is 8.127 g cm⁻³. The calculation puts the raw formation energy at 702.1 meV per atom.

(5)
Compound: ReOs3
Source: Alexandria via LeMat-Bulk
Functional: meta-GGA SCAN
Structure: PBEsol geometry

The structure belongs to space group Imm2 (No. 44); the cell edges are 2.741, 8.660 and 4.749 Å and the angles 90.00°, 90.00° and 90.00°. Symmetry generates all atoms from Re at (0.000, 0.000, 0.000), Os at (0.000, 0.250, 0.333) and Os at (0.000, 0.500, 0.999).

The spin magnetization is 0.0000 μB per atom. Its excess energy over the best structure of this formula in the dataset is 21 meV per atom. Its density is 22.303 g cm⁻³.

(6)
Compound: NaSn2As2
Source: Alexandria via LeMat-Bulk
Functional: meta-GGA SCAN
Structure: PBEsol geometry

The structure belongs to space group I4/mmm (No. 139); the cell edges are 5.255, 5.255 and 9.340 Å and the angles 90.00°, 90.00° and 90.00°. Symmetry generates all atoms from Na at (0.000, 0.000, 0.000), Sn at (0.000, 0.000, 0.346) and As at (0.000, 0.500, 0.250).

The spin magnetization is 0.0000 μB per atom. Its excess energy over the best structure of this formula in the dataset is 164 meV per atom. Its density is 5.283 g cm⁻³.

(7)
Compound: Sr3MgTa
Source: Alexandria via LeMat-Bulk
Functional: meta-GGA SCAN
Structure: PBEsol geometry

The structure belongs to space group Pm-3m (No. 221); the cell edges are 5.860, 5.860 and 5.860 Å and the angles 90.00°, 90.00° and 90.00°. Symmetry generates all atoms from Sr at (0.000, 0.000, 0.500), Mg at (0.500, 0.500, 0.500) and Ta at (0.000, 0.000, 0.000).

The spin magnetization is 0.0000 μB per atom. Its excess energy over the best structure of this formula in the dataset is 0 meV per atom. Its density is 3.862 g cm⁻³.

(8)
Compound: ZrAu2Br
Source: Alexandria via LeMat-Bulk
Functional: meta-GGA SCAN
Structure: PBEsol geometry

The structure belongs to space group P4/mmm (No. 123); the cell edges are 3.910, 3.910 and 5.034 Å and the angles 90.00°, 90.00° and 90.00°. Symmetry generates all atoms from Zr at (0.000, 0.000, 0.000), Au at (0.000, 0.500, 0.500) and Br at (0.500, 0.500, 0.000).

The spin magnetization is 0.0000 μB per atom. Its excess energy over the best structure of this formula in the dataset is 327 meV per atom. Its density is 12.194 g cm⁻³. The calculation puts the raw formation energy at -151.7 meV per atom.

(9)
Compound: CdIrOs2
Source: Alexandria via LeMat-Bulk
Functional: meta-GGA SCAN
Structure: PBEsol geometry

The structure belongs to space group Cmmm (No. 65); the cell edges are 5.367, 8.252 and 2.710 Å and the angles 90.00°, 90.00° and 90.00°. Symmetry generates all atoms from Cd at (0.000, 0.000, 0.000), Ir at (0.000, 0.500, 0.000) and Os at (0.250, 0.250, 0.500).

The spin magnetization is 0.0001 μB per atom. Its density is 18.958 g cm⁻³. The value obtained for the total DFT energy (no corrections) is -60.68 eV/atom.

(10)
Compound: Mn2ZnCo
Source: Alexandria via LeMat-Bulk
Functional: meta-GGA SCAN
Structure: PBEsol geometry

The structure belongs to space group C2/m (No. 12); the cell edges are 8.479, 2.491 and 4.192 Å and the angles 90.00°, 102.12° and 90.00°. Symmetry generates all atoms from Mn at (0.238, 0.000, 0.235), Zn at (0.000, 0.000, 0.500) and Co at (0.000, 0.500, 0.000).

The spin magnetization is 1.6792 μB per atom. Its density is 8.988 g cm⁻³. The value obtained for the total DFT energy (no corrections) is -16.64 eV/atom.

(11)
Compound: ScTlCl4
Source: Alexandria via LeMat-Bulk
Functional: meta-GGA SCAN
Structure: PBEsol geometry

The structure belongs to space group F-43m (No. 216); the cell edges are 8.213, 8.213 and 8.213 Å and the angles 90.00°, 90.00° and 90.00°. Symmetry generates all atoms from Sc at (0.000, 0.000, 0.000), Tl at (0.250, 0.250, 0.750) and Cl at (0.126, 0.126, 0.374).

The spin magnetization is 0.0047 μB per atom. Its density is 4.690 g cm⁻³. The calculation puts the raw formation energy at -210.5 meV per atom.

(12)
Compound: Na4HgP2
Source: Alexandria via LeMat-Bulk
Functional: meta-GGA SCAN
Structure: PBEsol geometry

The structure belongs to space group R-3m (No. 166, hexagonal axes); the cell edges are 4.9650, 4.9650 and 25.3761 Å and the angles 90.00°, 90.00° and 120.00°. Symmetry generates all atoms from Na at (0.0000, 0.0000, 0.0978), Na at (0.0000, 0.0000, 0.2928), Hg at (0.0000, 0.0000, 0.5000) and P at (0.0000, 0.0000, 0.4061).

The spin magnetization is 0.0000 μB per atom. Its density is 3.260 g cm⁻³. The value obtained for the total DFT energy (no corrections) is -15.59 eV/atom.

(13)
Compound: ZrSc2Hg
Source: Alexandria via LeMat-Bulk
Functional: meta-GGA SCAN
Structure: PBEsol geometry

The structure belongs to space group R-3m (No. 166, hexagonal axes); the cell edges are 3.1284, 3.1284 and 32.1218 Å and the angles 90.00°, 90.00° and 120.00°. Symmetry generates all atoms from Zr at (0.0000, 0.0000, 0.0000), Sc at (0.0000, 0.0000, 0.0923) and Hg at (0.0000, 0.0000, 0.5000).

The spin magnetization is 0.0027 μB per atom. Its density is 6.985 g cm⁻³. The value obtained for the total DFT energy (no corrections) is -31.74 eV/atom.

(14)
Compound: TeIr2F
Source: Alexandria via LeMat-Bulk
Functional: meta-GGA SCAN
Structure: PBEsol geometry

The structure belongs to space group Fm-3m (No. 225); the cell edges are 6.144, 6.144 and 6.144 Å and the angles 90.00°, 90.00° and 90.00°. Symmetry generates all atoms from Te at (0.000, 0.000, 0.000), Ir at (0.250, 0.250, 0.250) and F at (0.000, 0.000, 0.500).

The spin magnetization is 0.0000 μB per atom. Its density is 15.205 g cm⁻³. The calculation puts the raw formation energy at 94.1 meV per atom.

(15)
Compound: H3AuSe
Source: Alexandria via LeMat-Bulk
Functional: meta-GGA SCAN
Structure: PBEsol geometry

The structure belongs to space group Pm-3m (No. 221); the cell edges are 3.704, 3.704 and 3.704 Å and the angles 90.00°, 90.00° and 90.00°. Symmetry generates all atoms from H at (0.000, 0.000, 0.500), Au at (0.500, 0.500, 0.500) and Se at (0.000, 0.000, 0.000).

The spin magnetization is 0.0000 μB per atom. Its density is 9.112 g cm⁻³. The value obtained for the total DFT energy (no corrections) is -19.02 eV/atom.

(16)
Compound: TlAu3
Source: Alexandria via LeMat-Bulk
Functional: meta-GGA SCAN
Structure: PBEsol geometry

The structure belongs to space group Pmmm (No. 47); the cell edges are 3.629, 3.649 and 5.737 Å and the angles 90.00°, 90.00° and 90.00°. Symmetry generates all atoms from Tl at (0.000, 0.000, 0.000), Au at (0.000, 0.000, 0.500) and Au at (0.500, 0.500, 0.261).

The spin magnetization is 0.0000 μB per atom. Its density is 17.387 g cm⁻³. The value obtained for the total DFT energy (no corrections) is -69.86 eV/atom.

(17)
Compound: LaAl2Hg
Source: Alexandria via LeMat-Bulk
Functional: meta-GGA SCAN
Structure: PBEsol geometry

The structure belongs to space group R3m (No. 160, hexagonal axes); the cell edges are 4.4609, 4.4609 and 16.3366 Å and the angles 90.00°, 90.00° and 120.00°. Symmetry generates all atoms from La at (0.0000, 0.0000, 0.0000), Al at (0.0000, 0.0000, 0.4848), Al at (0.0000, 0.0000, 0.7815) and Hg at (0.0000, 0.0000, 0.2190).

The spin magnetization is 0.0000 μB per atom. Its density is 6.962 g cm⁻³. The value obtained for the total DFT energy (no corrections) is -32.18 eV/atom.

(18)
Compound: LaBi2HRh
Source: Alexandria via LeMat-Bulk
Functional: meta-GGA SCAN
Structure: PBEsol geometry

The structure belongs to space group P4/mmm (No. 123); the cell edges are 5.211, 5.211 and 5.328 Å and the angles 90.00°, 90.00° and 90.00°. Symmetry generates all atoms from La at (0.000, 0.000, 0.000), Bi at (0.000, 0.500, 0.500), H at (0.500, 0.500, 0.000) and Rh at (0.000, 0.000, 0.500).

The spin magnetization is 0.0007 μB per atom. Its excess energy over the best structure of this formula in the dataset is 0 meV per atom. Its density is 7.586 g cm⁻³.

(19)
Compound: Y4TeCl
Source: Alexandria via LeMat-Bulk
Functional: meta-GGA SCAN
Structure: PBEsol geometry

The structure belongs to space group F-43m (No. 216); the cell edges are 8.908, 8.908 and 8.908 Å and the angles 90.00°, 90.00° and 90.00°. Symmetry generates all atoms from Y at (0.124, 0.124, 0.376), Te at (0.250, 0.250, 0.750) and Cl at (0.000, 0.000, 0.000).

The spin magnetization is 0.2354 μB per atom. Its density is 4.874 g cm⁻³. The calculation puts the raw formation energy at 9.1 meV per atom.

(20)
Compound: Ta4ZnCo
Source: Alexandria via LeMat-Bulk
Functional: meta-GGA SCAN
Structure: PBEsol geometry

The structure belongs to space group F-43m (No. 216); the cell edges are 7.463, 7.463 and 7.463 Å and the angles 90.00°, 90.00° and 90.00°. Symmetry generates all atoms from Ta at (0.125, 0.125, 0.125), Zn at (0.000, 0.000, 0.500) and Co at (0.250, 0.250, 0.750).

The spin magnetization is 0.1653 μB per atom. Its density is 13.551 g cm⁻³. The value obtained for the total DFT energy (no corrections) is -48.87 eV/atom.